Record 1
Below is CoMoC2 at its PBEsol-relaxed geometry, with properties calculated at the meta-GGA SCAN level.

Summary:
**DOS(E_F)**: 0.474 states/eV/atom
**Calculated total energy**: -17.50 eV/atom
**ΔE_f**: 594.6 meV per atom
**Total moment**: 0.00 μB/atom

a b c (Å): 4.456 4.456 5.409
angles (deg): 114.32 114.32 90.00
Atoms (fractional coordinates):
Co1 0.750 0.250 0.500
Mo1 0.000 0.000 0.000
C1 0.625 0.598 0.750
C2 0.402 0.875 0.250
Mo2 0.250 0.750 0.500
C3 0.848 0.375 0.250
Co2 0.500 0.500 0.000
C4 0.125 0.152 0.750

Record 2
Below is KHg2Br at its PBEsol-relaxed geometry, with properties calculated at the meta-GGA SCAN level.

Summary:
**DOS(E_F)**: 0.099 states/eV/atom
**Calculated total energy**: -41.89 eV/atom
**Total moment**: 0.00 μB/atom
**Polymorph energy (0 for the lowest one)**: 0 meV/atom

a b c (Å): 4.418 4.418 6.844
angles (deg): 108.83 108.83 90.00
Atoms (fractional coordinates):
Br1 0.000 0.000 0.000
Hg1 0.750 0.250 0.500
K1 0.500 0.500 0.000
Hg2 0.250 0.750 0.500

Record 3
Below is Na2TlCdHg at its PBEsol-relaxed geometry, with properties calculated at the meta-GGA SCAN level.

Summary:
**DOS(E_F)**: 0.444 states/eV/atom
**Calculated total energy**: -35.77 eV/atom
**ΔE_f**: 107.5 meV per atom
**Total moment**: 0.00 μB/atom

a b c (Å): 5.219 5.633 5.633
angles (deg): 90.00 90.00 90.00
Atoms (fractional coordinates):
Na1 0.000 0.500 0.000
Na2 0.000 0.000 0.500
Hg1 0.500 0.000 0.000
Cd1 0.000 0.000 0.000
Tl1 0.500 0.500 0.500